Entry 1:
First-principles (GGA-PBE) data for a relaxed Ba2SrHgS crystal, as listed in Alexandria via LeMat-Bulk.

The density of states at the Fermi level is 5.70 states/eV/f.u. The formation energy without anion corrections comes out at -0.843 eV per atom. For the polymorph energy (0 for the lowest one), the calculation gives 0 meV/atom. As for the volume: 216.13 Å³/cell. As for the calculated density: 4.6 g/cm³.

The structure belongs to space group P4/mmm (No. 123); the cell edges are 6.1795, 6.1795 and 5.6597 Å and the angles 90.00°, 90.00° and 90.00°. The inequivalent atoms are Ba at (0.0000, 0.5000, 0.0000), Sr at (0.0000, 0.0000, 0.5000), Hg at (0.5000, 0.5000, 0.5000) and S at (0.0000, 0.0000, 0.0000).

---

Entry 2:
First-principles (GGA-PBE) data for a relaxed Rb2FeCuSe4 crystal, as listed in Alexandria via LeMat-Bulk.

The density of states at the Fermi level is 2.31 states/eV/f.u. The formation energy without anion corrections comes out at -0.627 eV per atom. As for the volume: 1877.88 Å³/cell. As for the calculated density: 4.3 g/cm³.

The structure belongs to space group Fddd (No. 70, origin choice 2); the cell edges are 5.7071, 13.9677 and 23.5573 Å and the angles 90.00°, 90.00° and 90.00°. The inequivalent atoms are Rb at (0.1250, 0.1250, 0.3081), Fe at (0.1250, 0.1250, 0.1250), Cu at (0.1250, 0.1250, 0.6250) and Se at (0.1103, 0.2810, 0.4324).

---

Entry 3:
First-principles (GGA-PBE) data for a relaxed Sn2Pb2Au3 crystal, as listed in Alexandria via LeMat-Bulk.

The density of states at the Fermi level is 3.02 states/eV/f.u. The value obtained for the formation enthalpy at 0 K is -0.083 eV per atom. For the polymorph energy (0 for the lowest one), the calculation gives 14 meV/atom. As for the volume: 373.15 Å³/cell. As for the calculated density: 11.1 g/cm³.

The structure belongs to space group P2_1/c (No. 14); the cell edges are 6.9971, 7.6933 and 7.2653 Å and the angles 90.00°, 107.43° and 90.00°. The inequivalent atoms are Sn at (0.1312, 0.1662, 0.3537), Pb at (0.3414, 0.6569, 0.6096), Au at (0.2242, 0.0175, 0.7349) and Au at (0.5000, 0.0000, 0.5000).

---

Entry 4:
First-principles (GGA-PBE) data for a relaxed Sr2MgPd2 crystal, as listed in Alexandria via LeMat-Bulk.

The density of states at the Fermi level is 2.59 states/eV/f.u. The value obtained for the formation enthalpy at 0 K is -0.580 eV per atom. As for the volume: 533.05 Å³/cell. As for the calculated density: 5.1 g/cm³.

The structure belongs to space group C2/m (No. 12); the cell edges are 12.4036, 4.4152 and 11.2432 Å and the angles 90.00°, 120.03° and 90.00°. The inequivalent atoms are Sr at (0.0147, 0.0000, 0.1794), Sr at (0.1766, 0.0000, 0.6062), Mg at (0.2194, 0.5000, 0.8805), Pd at (0.0044, 0.5000, 0.3779) and Pd at (0.1321, 0.5000, 0.0620).

---

For each record above, in turn, the calculated total magnetic moment values are 0.00 2.99 0.00 0.00 μB per formula unit.